1.
First-principles (PBE-GGA) data for a relaxed structure of ThAg3S4, as listed in Alexandria via LeMat-Bulk.

Results
- Space group: Cmmm
- E_form (uncorrected): -0.63 eV/atom

Unit cell a=7.8114 b=7.8114 c=3.7774 alpha=90.00 beta=90.00 gamma=125.68
Closest atoms and distances in Å follow each position.
Sites, in units of the cell vectors:
Th 0.0000 0.0000 0.0000  8 S 2.93
Ag 0.2619 0.7381 0.5000  4 S 2.58-2.63
Ag 0.5000 0.5000 0.5000  4 S 2.55
Ag 0.7381 0.2619 0.5000  4 S 2.58-2.63
S 0.1060 0.3355 0.5000  3 Ag 2.55-2.63
S 0.3355 0.1060 0.5000  3 Ag 2.55-2.63
S 0.6645 0.8940 0.5000  3 Ag 2.55-2.63
S 0.8940 0.6645 0.5000  3 Ag 2.55-2.63

2.
First-principles (PBE-GGA) data for a relaxed structure of Ba3Cd8Ga3, as listed in Alexandria via LeMat-Bulk.

Results
- Space group: C2/m
- ΔH_f (0 K): -0.284 eV per atom

Unit cell a=9.2236 b=9.2236 c=10.0198 alpha=121.25 beta=121.25 gamma=32.11
Closest atoms and distances in Å follow each position.
Sites, in units of the cell vectors:
Ba 0.0000 0.0000 0.0000  8 Cd 3.49-3.73, 4 Ga 3.81
Ba 0.2970 0.2970 0.3034  10 Cd 3.47-3.71, 3 Ga 3.49-3.62
Ba 0.7030 0.7030 0.6966  10 Cd 3.47-3.71, 3 Ga 3.49-3.62
Cd 0.1347 0.1347 0.8436  1 Ga 2.95, 5 Cd 3.00-3.28
Cd 0.1426 0.1426 0.4215  4 Ga 2.92-3.06
Cd 0.3412 0.3412 0.9807  1 Ga 2.80, 3 Cd 3.00
Cd 0.4972 0.4972 0.6872  3 Ga 2.88-3.18, 1 Cd 3.00
Cd 0.5028 0.5028 0.3128  3 Ga 2.88-3.18, 1 Cd 3.00
Cd 0.6588 0.6588 0.0193  1 Ga 2.80, 3 Cd 3.00
Cd 0.8574 0.8574 0.5785  4 Ga 2.92-3.06
Cd 0.8653 0.8653 0.1564  1 Ga 2.95, 5 Cd 3.00-3.28
Ga 0.0000 0.0000 0.5000  8 Cd 2.95-3.18
Ga 0.3383 0.3383 0.6989  5 Cd 2.80-3.06
Ga 0.6617 0.6617 0.3011  5 Cd 2.80-3.06

3.
First-principles (PBE-GGA) data for a relaxed structure of TiCrCd3, as listed in Alexandria via LeMat-Bulk.

Results
- Space group: Pm-3m
- ΔH_f (0 K): 1.213 eV per atom

Unit cell a=4.9326 b=4.9326 c=4.9326 alpha=90.00 beta=90.00 gamma=90.00
Closest atoms and distances in Å follow each position.
Sites, in units of the cell vectors:
Ti 0.0000 0.0000 0.0000  12 Cd 3.49
Cr 0.5000 0.5000 0.5000  6 Cd 2.47
Cd 0.0000 0.5000 0.5000  2 Cr 2.47
Cd 0.5000 0.0000 0.5000  2 Cr 2.47
Cd 0.5000 0.5000 0.0000  2 Cr 2.47

4.
First-principles (PBE-GGA) data for a relaxed structure of K2CrH, as listed in Alexandria via LeMat-Bulk.

Results
- Space group: Fm-3m
- DFT total energy: -2.96 eV per atom

Unit cell a=5.7530 b=5.7530 c=5.7530 alpha=60.00 beta=60.00 gamma=60.00
Closest atoms and distances in Å follow each position.
Sites, in units of the cell vectors:
K 0.2500 0.2500 0.2500  4 Cr 3.52, 4 H 3.52
K 0.7500 0.7500 0.7500  4 Cr 3.52, 4 H 3.52
Cr 0.0000 0.0000 0.0000  8 K 3.52
H 0.5000 0.5000 0.5000  8 K 3.52

5.
First-principles (PBE-GGA) data for a relaxed structure of Dy3Cd, as listed in Alexandria via LeMat-Bulk.

Results
- Space group: I4/mmm
- ΔH_f (0 K): -0.072 eV per atom

Unit cell a=5.9505 b=5.9505 c=5.9505 alpha=132.36 beta=132.36 gamma=69.66
Closest atoms and distances in Å follow each position.
Sites, in units of the cell vectors:
Dy 0.0000 0.0000 0.0000  4 Cd 3.40, 8 Dy 3.43
Dy 0.2500 0.7500 0.5000  8 Dy 3.40-3.43, 4 Cd 3.43
Dy 0.7500 0.2500 0.5000  8 Dy 3.40-3.43, 4 Cd 3.43
Cd 0.5000 0.5000 0.0000  12 Dy 3.40-3.43

6.
First-principles (PBE-GGA) data for a relaxed structure of NaAlTc2C, as listed in Alexandria via LeMat-Bulk.

Results
- Space group: P4/mmm
- ΔH_f (0 K): 2.513 eV per atom

Unit cell a=4.6491 b=4.6491 c=4.9877 alpha=90.00 beta=90.00 gamma=90.00
Closest atoms and distances in Å follow each position.
Sites, in units of the cell vectors:
Na 0.0000 0.0000 0.0000  2 Al 2.49
Al 0.0000 0.0000 0.5000  4 Tc 2.32, 2 Na 2.49
Tc 0.0000 0.5000 0.5000  2 Al 2.32
Tc 0.5000 0.0000 0.5000  2 Al 2.32
C 0.5000 0.5000 0.0000  4 Na 3.29, 8 Tc 3.41